# LiTlHg2 (GGA-PBEsol, optimized geometry)
# Energy above the lowest structure with this stoichiometry, kcal/mol of atoms: 0.67
# Size of the total moment, μB per formula unit: 0.00
# Uncorrected energy, Ha/atom: -0.0595
# ρ, Mg/m³: 11.5
# ΔH_f (0 K), meV/atom: -185
data_LiTlHg2
_chemical_formula_sum 'Li1 Tl1 Hg2'
_cell_length_a 4.4485
_cell_length_b 4.4485
_cell_length_c 4.4868
_cell_angle_alpha 90.00
_cell_angle_beta 90.00
_cell_angle_gamma 90.00
_space_group_name_H-M_alt 'P 4/m m m'
_space_group_IT_number 123
_space_group_name_Hall '-P 4 2'
loop_
_atom_site_label
_atom_site_fract_x
_atom_site_fract_y
_atom_site_fract_z
Li1 0.0000 0.0000 0.0000
Tl1 0.5000 0.5000 0.0000
Hg1 0.0000 0.5000 0.5000